[1]
# TaFeCuSi (PBE, relaxed)
# E above lowest polymorph   0.00 eV/f.u.
data_TaFeCuSi
_space_group_name_H-M_alt 'F -4 3 m'
_space_group_IT_number 216
_space_group_name_Hall 'F -4 2 3'
_cell_length_a 5.908
_cell_length_b 5.908
_cell_length_c 5.908
_cell_angle_alpha 90.00
_cell_angle_beta 90.00
_cell_angle_gamma 90.00
loop_
_atom_site_label
_atom_site_fract_x
_atom_site_fract_y
_atom_site_fract_z
Ta1 0.000 0.000 0.000
Fe1 0.250 0.250 0.250
Cu1 0.250 0.250 0.750
Si1 0.000 0.000 0.500

=====

[2]
# TaFeCuSi (PBE, relaxed)
# E above lowest polymorph   0.72 eV/f.u.
data_TaFeCuSi
_space_group_name_H-M_alt 'F -4 3 m'
_space_group_IT_number 216
_space_group_name_Hall 'F -4 2 3'
_cell_length_a 5.984
_cell_length_b 5.984
_cell_length_c 5.984
_cell_angle_alpha 90.00
_cell_angle_beta 90.00
_cell_angle_gamma 90.00
loop_
_atom_site_label
_atom_site_fract_x
_atom_site_fract_y
_atom_site_fract_z
Ta1 0.000 0.000 0.000
Fe1 0.000 0.000 0.500
Cu1 0.250 0.250 0.750
Si1 0.250 0.250 0.250

=====

[3]
# TbFeCuSi2 (PBE, relaxed)
# Final energy   -6.08 eV/atom
data_TbFeCuSi2
_space_group_name_H-M_alt 'I -4 m 2'
_space_group_IT_number 119
_space_group_name_Hall 'I -4 -2'
_cell_length_a 3.971
_cell_length_b 3.971
_cell_length_c 9.805
_cell_angle_alpha 90.00
_cell_angle_beta 90.00
_cell_angle_gamma 90.00
loop_
_atom_site_label
_atom_site_fract_x
_atom_site_fract_y
_atom_site_fract_z
Tb1 0.000 0.000 0.000
Fe1 0.000 0.500 0.250
Cu1 0.000 0.500 0.750
Si1 0.000 0.000 0.377

=====

[4]
# FeCuSiTc (PBE, relaxed)
# E above lowest polymorph   0.00 eV/f.u.
data_FeCuSiTc
_space_group_name_H-M_alt 'F -4 3 m'
_space_group_IT_number 216
_space_group_name_Hall 'F -4 2 3'
_cell_length_a 5.851
_cell_length_b 5.851
_cell_length_c 5.851
_cell_angle_alpha 90.00
_cell_angle_beta 90.00
_cell_angle_gamma 90.00
loop_
_atom_site_label
_atom_site_fract_x
_atom_site_fract_y
_atom_site_fract_z
Fe1 0.000 0.000 0.000
Cu1 0.250 0.250 0.750
Si1 0.000 0.000 0.500
Tc1 0.250 0.250 0.250

=====

[5]
# TmFeCuSi2 (PBE, relaxed)
# Final energy   -6.04 eV/atom
data_TmFeCuSi2
_space_group_name_H-M_alt 'I -4 m 2'
_space_group_IT_number 119
_space_group_name_Hall 'I -4 -2'
_cell_length_a 3.914
_cell_length_b 3.914
_cell_length_c 9.795
_cell_angle_alpha 90.00
_cell_angle_beta 90.00
_cell_angle_gamma 90.00
loop_
_atom_site_label
_atom_site_fract_x
_atom_site_fract_y
_atom_site_fract_z
Tm1 0.000 0.000 0.000
Fe1 0.000 0.500 0.250
Cu1 0.000 0.500 0.750
Si1 0.000 0.000 0.379

=====

[6]
# ZnFeCu4Si2 (PBE, relaxed)
# Final energy   -4.33 eV/atom
data_ZnFeCu4Si2
_space_group_name_H-M_alt 'P 4/m m m'
_space_group_IT_number 123
_space_group_name_Hall '-P 4 2'
_cell_length_a 3.968
_cell_length_b 3.968
_cell_length_c 6.199
_cell_angle_alpha 90.00
_cell_angle_beta 90.00
_cell_angle_gamma 90.00
loop_
_atom_site_label
_atom_site_fract_x
_atom_site_fract_y
_atom_site_fract_z
Zn1 0.000 0.000 0.000
Fe1 0.500 0.500 0.500
Cu1 0.000 0.500 0.248
Si1 0.000 0.000 0.500
Si2 0.500 0.500 0.000